(1)
Below is a relaxed Ce3Sn6Ru crystal, with properties calculated at the PBE level.

Calculated values
ρ   7.8 Mg/m³
D(E_F)   35.2 states/eV/cell
DFT formation energy   -5.53 eV per formula unit
Energy   -5.66 eV per atom

Cell: 8.786 8.786 13.347 Å, 90.00 90.00 149.44°
Atoms (fractional coordinates):
Ce 0.102 0.898 0.750
Ce 0.104 0.896 0.098
Ce 0.104 0.896 0.402
Ce 0.896 0.104 0.598
Ce 0.896 0.104 0.902
Ce 0.898 0.102 0.250
Sn 0.241 0.759 0.570
Sn 0.241 0.759 0.930
Sn 0.269 0.731 0.250
Sn 0.428 0.572 0.074
Sn 0.428 0.572 0.426
Sn 0.462 0.538 0.750
Sn 0.538 0.462 0.250
Sn 0.572 0.428 0.574
Sn 0.572 0.428 0.926
Sn 0.731 0.269 0.750
Sn 0.759 0.241 0.070
Sn 0.759 0.241 0.430
Ru 0.306 0.694 0.750
Ru 0.694 0.306 0.250

(2)
Below is a relaxed Ni2RuBr crystal, with properties calculated at the PBE level.

Calculated values
ρ   8.8 Mg/m³
Energy above the lowest structure with this stoichiometry   365.4 meV per atom
E_form (uncorrected)   0.850 eV per atom
D(E_F)   4.9 states/eV/cell
Energy   -4.78 eV per atom

Cell: 3.747 3.747 3.991 Å, 90.00 90.00 90.00°
Atoms (fractional coordinates):
Ni 0.000 0.500 0.000
Ni 0.500 0.000 0.000
Ru 0.000 0.000 0.500
Br 0.500 0.500 0.500

(3)
Below is a relaxed LaTb4Pm7 crystal, with properties calculated at the PBE level.

Calculated values
ρ   7.3 Mg/m³
Energy above the lowest structure with this stoichiometry   0.0 meV per atom
D(E_F)   17.9 states/eV/cell
DFT formation energy   0.07 eV per formula unit
Energy   -4.72 eV per atom

Cell: 6.345 7.321 9.034 Å, 90.01 103.64 90.01°
Atoms (fractional coordinates):
La 0.000 0.000 0.000
Tb 0.219 0.500 0.666
Tb 0.279 0.253 0.334
Tb 0.721 0.747 0.666
Tb 0.781 0.500 0.334
Pm 0.000 0.500 0.000
Pm 0.223 0.999 0.665
Pm 0.280 0.748 0.336
Pm 0.500 0.253 0.001
Pm 0.500 0.747 0.999
Pm 0.720 0.252 0.664
Pm 0.777 0.001 0.335

(4)
Below is a relaxed MoOsPd3 crystal, with properties calculated at the PBE level.

Calculated values
ρ   9.7 Mg/m³
Energy above the lowest structure with this stoichiometry   206.5 meV per atom
D(E_F)   5.2 states/eV/cell
DFT formation energy   9.50 eV per formula unit
Energy   -5.63 eV per atom

Cell: 4.698 4.698 4.698 Å, 90.00 90.00 90.00°
Atoms (fractional coordinates):
Mo 0.000 0.000 0.000
Os 0.500 0.500 0.500
Pd 0.000 0.000 0.500
Pd 0.000 0.500 0.000
Pd 0.500 0.000 0.000

(5)
Below is a relaxed Hf2TcIr crystal, with properties calculated at the PBE level.

Calculated values
ρ   14.4 Mg/m³
D(E_F)   3.4 states/eV/cell
DFT formation energy   1.52 eV per formula unit
Energy   -9.40 eV per atom

Cell: 5.903 5.903 5.903 Å, 151.89 129.19 59.07°
Atoms (fractional coordinates):
Hf 0.246 0.246 0.000
Hf 0.754 0.754 0.000
Tc 0.500 0.500 0.000
Ir 0.000 0.000 0.000

(6)
Below is a relaxed GeBiRuPb2 crystal, with properties calculated at the PBE level.

Calculated values
ρ   8.2 Mg/m³
Energy above the lowest structure with this stoichiometry   1048.8 meV per atom
D(E_F)   5.2 states/eV/cell
DFT formation energy   6.30 eV per formula unit
Energy   -3.78 eV per atom

Cell: 5.416 5.416 5.471 Å, 90.00 90.00 90.00°
Atoms (fractional coordinates):
Ge 0.000 0.000 0.000
Bi 0.000 0.000 0.500
Ru 0.500 0.500 0.500
Pb 0.000 0.500 0.000
Pb 0.500 0.000 0.000

(7)
Below is a relaxed Pr4Cd5Ga2 crystal, with properties calculated at the PBE level.

Calculated values
ρ   7.0 Mg/m³
D(E_F)   9.1 states/eV/cell
DFT formation energy   -3.92 eV per formula unit
Energy   -3.06 eV per atom

Cell: 7.762 3.937 9.780 Å, 90.00 94.09 90.00°
Atoms (fractional coordinates):
Pr 0.172 0.000 0.365
Pr 0.256 0.000 0.937
Pr 0.744 0.000 0.063
Pr 0.828 0.000 0.635
Cd 0.183 0.500 0.653
Cd 0.441 0.500 0.193
Cd 0.500 0.500 0.500
Cd 0.559 0.500 0.807
Cd 0.817 0.500 0.347
Ga 0.059 0.500 0.129
Ga 0.941 0.500 0.871

(8)
Below is a relaxed La5US6 crystal, with properties calculated at the PBE level.

Calculated values
ρ   6.3 Mg/m³
E_form (uncorrected)   -1.998 eV per atom
D(E_F)   13.4 states/eV/cell
Energy   -7.06 eV per atom

Cell: 7.122 7.122 7.142 Å, 99.65 99.65 120.01°
Atoms (fractional coordinates):
La 0.000 0.000 0.000
La 0.166 0.834 0.500
La 0.329 0.671 0.000
La 0.671 0.329 0.000
La 0.834 0.166 0.500
U 0.500 0.500 0.500
S 0.097 0.420 0.259
S 0.260 0.260 0.747
S 0.420 0.097 0.259
S 0.580 0.903 0.741
S 0.740 0.740 0.253
S 0.903 0.580 0.741

(9)
Below is a relaxed CrBN crystal, with properties calculated at the PBE level.

Calculated values
ρ   5.0 Mg/m³
E_form (uncorrected)   0.196 eV per atom
D(E_F)   3.6 states/eV/cell
Energy   -8.01 eV per atom

Cell: 4.931 4.931 3.741 Å, 90.00 90.00 146.05°
Atoms (fractional coordinates):
Cr 0.198 0.802 0.750
Cr 0.802 0.198 0.250
B 0.000 0.000 0.000
B 0.000 0.000 0.500
N 0.147 0.853 0.250
N 0.853 0.147 0.750

(10)
Below is a relaxed AcErPbAu crystal, with properties calculated at the PBE level.

Calculated values
ρ   11.3 Mg/m³
D(E_F)   3.9 states/eV/cell
DFT formation energy   -2.15 eV per formula unit
Energy   -4.45 eV per atom

Cell: 5.498 5.498 5.498 Å, 60.00 60.00 60.00°
Atoms (fractional coordinates):
Ac 0.000 0.000 0.000
Er 0.500 0.500 0.500
Pb 0.250 0.250 0.250
Au 0.750 0.750 0.750

(11)
Below is a relaxed LiAl2Ga3 crystal, with properties calculated at the PBE level.

Calculated values
ρ   3.8 Mg/m³
Energy above the lowest structure with this stoichiometry   169.1 meV per atom
D(E_F)   1.7 states/eV/cell
DFT formation energy   0.54 eV per formula unit
Energy   -2.99 eV per atom

Cell: 7.343 7.343 7.343 Å, 158.05 58.94 126.05°
Atoms (fractional coordinates):
Li 0.000 0.000 0.000
Al 0.123 0.835 0.288
Al 0.546 0.835 0.712
Ga 0.337 0.837 0.500
Ga 0.538 0.647 0.891
Ga 0.755 0.647 0.109

(12)
Below is a relaxed SmY2PuO8 crystal, with properties calculated at the PBE level.

Calculated values
ρ   6.3 Mg/m³
E_form (uncorrected)   -3.050 eV per atom
Energy   -9.02 eV per atom

Cell: 5.125 5.125 7.049 Å, 90.00 90.00 90.55°
Atoms (fractional coordinates):
Sm 0.000 0.000 0.000
Y 0.500 0.500 0.242
Y 0.500 0.500 0.758
Pu 0.000 0.000 0.500
O 0.185 0.815 0.283
O 0.185 0.815 0.717
O 0.278 0.278 0.500
O 0.312 0.312 0.000
O 0.688 0.688 0.000
O 0.722 0.722 0.500
O 0.815 0.185 0.283
O 0.815 0.185 0.717

(13)
Below is a relaxed HfV2P crystal, with properties calculated at the PBE level.

Calculated values
ρ   7.8 Mg/m³
D(E_F)   9.8 states/eV/cell
DFT formation energy   -0.31 eV per formula unit
Energy   -8.48 eV per atom

Cell: 5.723 5.723 5.723 Å, 101.15 101.15 127.84°
Atoms (fractional coordinates):
Hf 0.000 0.000 0.000
Hf 0.750 0.250 0.500
V 0.199 0.125 0.574
V 0.375 0.801 0.926
V 0.551 0.625 0.426
V 0.875 0.449 0.074
P 0.250 0.750 0.500
P 0.500 0.500 0.000